First-principles (PBE with a Hubbard U) data for a relaxed structure of CaNiNO2, as listed in Alexandria via LeMat-Bulk.

Output
For the uncorrected energy, the calculation gives -2.727 eV/atom. The total magnetic moment comes out at 4.33 μB per formula unit.

abc: 5.7870 5.7870 5.8543
angles: 90.00 90.00 90.00
Atoms (fractional coordinates):
Ni 0.5000 0.5000 0.5000
Ca 0.0000 0.0000 0.0000
O 0.0000 0.5000 0.0000
O 0.5000 0.0000 0.0000
N 0.0000 0.0000 0.5000